Material: CeSnPt6
Method: DFT, PBE
State: optimized geometry

Properties
The calculation puts the density of states at the Fermi level at 2.701 states/eV/cell. As for the total energy: -6.45 eV/atom. As for the crystal system: tetragonal. The formation energy comes out at -0.67 eV/atom. The theoretical density is 16.983 g/cm³.

CIF file:
```
data_CeSnPt6
_cell_length_a 4.119
_cell_length_b 4.119
_cell_length_c 8.237
_cell_angle_alpha 90.00
_cell_angle_beta 90.00
_cell_angle_gamma 90.00
_symmetry_space_group_name_H-M 'P 4/m m m'
_symmetry_Int_Tables_number 123
_symmetry_space_group_name_Hall '-P 4 2'
loop_
_atom_site_label
_atom_site_type_symbol
_atom_site_fract_x
_atom_site_fract_y
_atom_site_fract_z
Ce1 Ce 0.000 0.000 0.000
Sn1 Sn 0.000 0.000 0.500
Pt1 Pt 0.000 0.500 0.253
Pt2 Pt 0.500 0.500 0.000
Pt3 Pt 0.500 0.500 0.500
```

Material: Tm6Sc12Cd
Method: DFT, PBE
State: optimized geometry

Properties
The calculation puts the density of states at the Fermi level at 110.710 states/eV/cell. As for the total energy: -5.34 eV/atom. As for the crystal system: trigonal. The formation energy comes out at 0.12 eV/atom. The theoretical density is 5.469 g/cm³.

CIF file:
```
data_Tm6Sc12Cd
_cell_length_a 11.6468
_cell_length_b 11.6468
_cell_length_c 12.9147
_cell_angle_alpha 90.00
_cell_angle_beta 90.00
_cell_angle_gamma 120.00
_symmetry_space_group_name_H-M 'R -3'
_symmetry_Int_Tables_number 148
_symmetry_space_group_name_Hall '-R 3'
loop_
_atom_site_label
_atom_site_type_symbol
_atom_site_fract_x
_atom_site_fract_y
_atom_site_fract_z
Tm1 Tm 0.0227 0.5951 0.2131
Sc1 Sc 0.0477 0.8681 0.3134
Sc2 Sc 0.0605 0.1895 0.9034
Cd1 Cd 0.0000 0.0000 0.5000
```

Material: CeSmGaAu
Method: DFT, PBE
State: optimized geometry

Properties
The calculation puts the density of states at the Fermi level at 40.375 states/eV/cell. As for the total energy: -4.79 eV/atom. As for the crystal system: cubic. The formation energy comes out at -0.55 eV/atom. The theoretical density is 9.222 g/cm³.

CIF file:
```
data_CeSmGaAu
_cell_length_a 7.376
_cell_length_b 7.376
_cell_length_c 7.376
_cell_angle_alpha 90.00
_cell_angle_beta 90.00
_cell_angle_gamma 90.00
_symmetry_space_group_name_H-M 'F -4 3 m'
_symmetry_Int_Tables_number 216
_symmetry_space_group_name_Hall 'F -4 2 3'
loop_
_atom_site_label
_atom_site_type_symbol
_atom_site_fract_x
_atom_site_fract_y
_atom_site_fract_z
Ce1 Ce 0.000 0.000 0.000
Sm1 Sm 0.000 0.000 0.500
Ga1 Ga 0.250 0.250 0.250
Au1 Au 0.250 0.250 0.750
```